A plane-wave DFT calculation with PBE was carried out for an optimized crystal structure of Ac3In2Ge4.

Structure (POSCAR):
```
Ac3In2Ge4
1.0
-2.109 -1.472 -3.659
4.974 -4.105 1.518
-7.869 -1.948 5.319
Ac In Ge
3 2 4
Direct
0.621 0.242 0.696
0.000 0.000 0.000
0.379 0.758 0.304
0.675 0.351 0.325
0.325 0.649 0.675
0.720 0.440 0.052
0.280 0.560 0.948
0.914 0.827 0.590
0.086 0.173 0.410
```

Calculated values
SG: C2/m
Formation energy from the elements: -0.53 eV/atom

=====

A plane-wave DFT calculation with PBE was carried out for an optimized crystal structure of ZrS2.

Structure (POSCAR):
```
ZrS2
1.0
3.731 0.000 0.000
0.000 6.164 0.000
0.000 0.000 6.164
Zr S
2 4
Direct
0.000 0.500 0.500
0.500 0.000 0.000
0.500 0.302 0.698
0.000 0.802 0.802
0.000 0.198 0.198
0.500 0.698 0.302
```

Calculated values
SG: P4_2/mnm
Energy relative to the elements, uncorrected: -1.402 eV per atom

=====

A plane-wave DFT calculation with PBE was carried out for an optimized crystal structure of YZr2Zn.

Structure (POSCAR):
```
YZr2Zn
1.0
3.333 0.000 0.000
0.000 3.333 0.000
0.000 0.000 8.294
Y Zn Zr
1 1 2
Direct
0.000 0.000 0.527
0.500 0.500 0.768
0.000 0.000 0.976
0.500 0.500 0.229
```

Calculated values
SG: P4mm
Formation energy from the elements: -0.11 eV/atom

=====

A plane-wave DFT calculation with PBE was carried out for an optimized crystal structure of BaUPaS6.

Structure (POSCAR):
```
BaUPaS6
1.0
7.005 0.000 0.000
-3.502 6.066 0.000
0.000 0.000 13.176
Ba U Pa S
2 2 2 12
Direct
0.000 0.000 0.000
0.000 0.000 0.500
0.667 0.333 0.250
0.333 0.667 0.750
0.333 0.667 0.250
0.667 0.333 0.750
0.624 0.621 0.140
0.997 0.376 0.140
0.376 0.997 0.640
0.003 0.624 0.860
0.379 0.376 0.360
0.997 0.621 0.360
0.621 0.997 0.860
0.624 0.003 0.360
0.003 0.379 0.640
0.379 0.003 0.140
0.621 0.624 0.640
0.376 0.379 0.860
```

Calculated values
SG: P-31c
Energy relative to the elements, uncorrected: -1.593 eV per atom

=====

A plane-wave DFT calculation with PBE was carried out for an optimized crystal structure of La2PmEr4Th.

Structure (POSCAR):
```
La2PmEr4Th
1.0
5.155 0.000 0.000
0.000 5.032 1.113
0.000 2.892 10.745
La Pm Er Th
2 1 4 1
Direct
0.000 0.000 0.000
0.500 0.000 0.500
0.500 0.500 0.000
0.000 0.756 0.745
0.000 0.245 0.255
0.500 0.744 0.255
0.500 0.256 0.745
0.000 0.500 0.500
```

Calculated values
SG: P2/m
Formation energy from the elements: 0.03 eV/atom

=====

A plane-wave DFT calculation with PBE was carried out for an optimized crystal structure of TiSiGeI2.

Structure (POSCAR):
```
TiSiGeI2
1.0
5.419 0.000 0.000
0.000 4.776 0.000
0.000 0.000 5.419
I Ge Si Ti
2 1 1 1
Direct
0.000 0.000 0.500
0.500 0.000 0.000
0.000 0.500 0.000
0.000 0.000 0.000
0.500 0.500 0.500
```

Calculated values
SG: P4/mmm
Energy relative to the elements, uncorrected: 0.954 eV per atom

=====

A plane-wave DFT calculation with PBE was carried out for an optimized crystal structure of SnS16Cl4O2.

Structure (POSCAR):
```
SnS16Cl4O2
1.0
14.326 0.000 0.000
0.000 8.666 -0.077
0.000 7.829 22.715
Sn S Cl O
4 64 16 8
Direct
0.640 0.993 0.709
0.140 0.007 0.791
0.360 0.007 0.291
0.860 0.993 0.209
0.298 0.345 0.053
0.526 0.277 0.476
0.987 0.545 0.769
0.320 0.624 0.634
0.455 0.890 0.817
0.513 0.545 0.269
0.466 0.016 0.885
0.419 0.631 0.868
0.373 0.811 0.566
0.180 0.624 0.134
0.873 0.189 0.934
0.966 0.984 0.615
0.396 0.232 0.445
0.896 0.025 0.398
0.081 0.631 0.368
0.540 0.513 0.872
0.702 0.655 0.947
0.614 0.378 0.288
0.680 0.376 0.366
0.034 0.016 0.385
0.105 0.524 0.546
0.618 0.598 0.701
0.357 0.165 0.027
0.104 0.975 0.602
0.896 0.768 0.055
0.114 0.622 0.212
0.474 0.723 0.524
0.974 0.277 0.976
0.104 0.232 0.945
0.152 0.434 0.885
0.045 0.890 0.317
0.643 0.835 0.973
0.652 0.566 0.615
0.604 0.768 0.555
0.857 0.835 0.473
0.848 0.566 0.115
0.382 0.402 0.299
0.460 0.487 0.128
0.127 0.811 0.066
0.040 0.487 0.628
0.395 0.524 0.046
0.627 0.189 0.434
0.581 0.369 0.132
0.895 0.476 0.454
0.118 0.402 0.799
0.955 0.110 0.683
0.882 0.598 0.201
0.820 0.376 0.866
0.605 0.476 0.954
0.604 0.025 0.898
0.396 0.975 0.102
0.386 0.622 0.712
0.202 0.345 0.553
0.886 0.378 0.788
0.919 0.369 0.632
0.960 0.513 0.372
0.026 0.723 0.024
0.534 0.984 0.115
0.143 0.165 0.527
0.545 0.110 0.183
0.798 0.655 0.447
0.348 0.434 0.385
0.487 0.455 0.731
0.013 0.455 0.231
0.753 0.810 0.766
0.253 0.190 0.734
0.267 0.919 0.379
0.179 0.782 0.755
0.821 0.218 0.245
0.679 0.218 0.745
0.247 0.190 0.234
0.994 0.901 0.832
0.733 0.081 0.621
0.006 0.099 0.168
0.494 0.099 0.668
0.506 0.901 0.332
0.767 0.081 0.121
0.233 0.919 0.879
0.321 0.782 0.255
0.747 0.810 0.266
0.084 0.227 0.816
0.584 0.773 0.684
0.445 0.124 0.201
0.916 0.773 0.184
0.945 0.876 0.299
0.416 0.227 0.316
0.555 0.876 0.799
0.055 0.124 0.701
```

Calculated values
SG: P2_1/c
Energy relative to the elements, uncorrected: -0.296 eV per atom

=====

A plane-wave DFT calculation with PBE was carried out for an optimized crystal structure of MnNbCr2N.

Structure (POSCAR):
```
MnNbCr2N
1.0
-3.377 -0.642 1.853
0.069 -3.641 -1.137
1.960 -0.973 3.234
Cr Nb Mn N
2 1 1 1
Direct
0.000 0.000 0.500
0.500 0.000 0.000
0.500 0.500 0.500
0.000 0.500 0.000
0.000 0.000 0.000
```

Calculated values
SG: P4/mmm
Energy relative to the elements, uncorrected: -0.223 eV per atom

=====

A plane-wave DFT calculation with PBE was carried out for an optimized crystal structure of TbSc.

Structure (POSCAR):
```
TbSc
1.0
-2.333 -2.064 -1.571
-0.529 -2.879 4.568
-4.413 3.636 1.781
Sc Tb
2 2
Direct
0.750 0.750 0.582
0.250 0.250 0.418
0.250 0.750 0.087
0.750 0.250 0.913
```

Calculated values
SG: Pmmn
Formation energy from the elements: 0.04 eV/atom
Energy above the most stable polymorph in this dataset: 0.000 eV/f.u.

=====

A plane-wave DFT calculation with PBE was carried out for an optimized crystal structure of CeVP2Os.

Structure (POSCAR):
```
CeVP2Os
1.0
4.094 0.000 0.000
0.000 4.094 0.000
-2.047 -2.047 4.945
Ce V P Os
1 1 2 1
Direct
0.000 0.000 0.000
0.750 0.250 0.500
0.627 0.627 0.255
0.373 0.373 0.745
0.250 0.750 0.500
```

Calculated values
SG: I-4m2
Formation energy from the elements: -0.84 eV/atom

=====

A plane-wave DFT calculation with PBE was carried out for an optimized crystal structure of AcNd4Cd.

Structure (POSCAR):
```
AcNd4Cd
1.0
-2.985 1.077 2.067
1.276 -2.056 2.914
7.473 11.469 4.819
Ac Nd Cd
1 4 1
Direct
0.000 0.000 0.000
0.500 0.500 0.189
0.000 0.000 0.638
0.000 0.000 0.362
0.500 0.500 0.811
0.500 0.500 0.500
```

Calculated values
SG: P4/mmm
Formation energy from the elements: -0.09 eV/atom
Energy above the most stable polymorph in this dataset: 0.000 eV/f.u.

=====

A plane-wave DFT calculation with PBE was carried out for an optimized crystal structure of KMnRe2.

Structure (POSCAR):
```
KMnRe2
1.0
-0.314 -4.192 1.388
-2.530 -2.880 -2.213
1.879 -3.253 -2.341
Re K Mn
2 1 1
Direct
0.250 0.250 0.250
0.750 0.750 0.750
0.000 0.000 0.000
0.500 0.500 0.500
```

Calculated values
SG: Fm-3m
Formation energy from the elements: 1.83 eV/atom
Energy above the most stable polymorph in this dataset: 4.254 eV/f.u.

=====

A plane-wave DFT calculation with PBE was carried out for an optimized crystal structure of BeP2ClO.

Structure (POSCAR):
```
BeP2ClO
1.0
-0.895 4.795 -1.343
-4.782 -1.207 -1.125
-0.803 0.620 2.750
P Be O Cl
2 1 1 1
Direct
0.000 0.500 0.000
0.500 0.000 0.000
0.000 0.000 0.000
0.000 0.000 0.500
0.500 0.500 0.500
```

Calculated values
SG: P4/mmm
Energy relative to the elements, uncorrected: 0.166 eV per atom
Energy above the most stable polymorph in this dataset: 0.000 eV/f.u.

=====

A plane-wave DFT calculation with PBE was carried out for an optimized crystal structure of MnCo2Os2.

Structure (POSCAR):
```
MnCo2Os2
1.0
6.888 0.000 0.000
0.000 6.888 0.000
0.000 0.000 2.659
Co Mn Os
4 2 4
Direct
0.380 0.880 0.000
0.880 0.620 0.000
0.620 0.120 0.000
0.120 0.380 0.000
0.000 0.000 0.000
0.500 0.500 0.000
0.177 0.677 0.500
0.677 0.823 0.500
0.823 0.323 0.500
0.323 0.177 0.500
```

Calculated values
SG: P4/mbm
Formation energy from the elements: 0.39 eV/atom

=====

A plane-wave DFT calculation with PBE was carried out for an optimized crystal structure of CeHo4Hg.

Structure (POSCAR):
```
CeHo4Hg
1.0
-4.036 3.759 -2.958
2.169 -6.941 -4.939
-4.400 -2.004 6.657
Ce Ho Hg
2 8 2
Direct
0.359 0.609 0.218
0.641 0.391 0.782
0.040 0.184 0.795
0.765 0.711 0.622
0.255 0.611 0.795
0.357 0.911 0.622
0.643 0.089 0.378
0.745 0.389 0.205
0.235 0.289 0.378
0.960 0.816 0.205
0.250 0.000 0.000
0.750 0.000 0.000
```

Calculated values
SG: C2/c
Formation energy from the elements: 0.00 eV/atom

=====

A plane-wave DFT calculation with PBE was carried out for an optimized crystal structure of K2SrCrMo.

Structure (POSCAR):
```
K2SrCrMo
1.0
6.615 0.000 0.000
0.000 4.287 0.000
0.000 0.000 6.615
Sr Mo K Cr
1 1 2 1
Direct
0.500 0.500 0.500
0.000 0.000 0.000
0.000 0.000 0.500
0.500 0.000 0.000
0.000 0.500 0.000
```

Calculated values
SG: P4/mmm
Formation energy from the elements: 1.33 eV/atom

=====

A plane-wave DFT calculation with PBE was carried out for an optimized crystal structure of CaCeCu2.

Structure (POSCAR):
```
CaCeCu2
1.0
4.351 0.000 0.000
0.000 7.412 -0.363
0.000 0.654 5.754
Ca Ce Cu
2 2 4
Direct
0.750 0.821 0.130
0.250 0.179 0.870
0.750 0.324 0.370
0.250 0.676 0.630
0.750 0.474 0.880
0.250 0.526 0.120
0.750 0.960 0.607
0.250 0.040 0.393
```

Calculated values
SG: P2_1/m
Formation energy from the elements: -0.08 eV/atom
Energy above the most stable polymorph in this dataset: 0.000 eV/f.u.

=====

A plane-wave DFT calculation with PBE was carried out for an optimized crystal structure of Ce4NdIn3.

Structure (POSCAR):
```
Ce4NdIn3
1.0
-0.857 -2.760 1.760
5.618 -0.891 1.340
1.060 7.221 8.589
Nd Ce In
1 4 3
Direct
0.500 0.000 0.000
0.631 0.563 0.263
0.369 0.437 0.737
0.262 0.247 0.524
0.738 0.753 0.476
0.000 0.500 0.000
0.874 0.925 0.749
0.126 0.075 0.251
```

Calculated values
SG: C2/m
Formation energy from the elements: -0.30 eV/atom

=====

A plane-wave DFT calculation with PBE was carried out for an optimized crystal structure of La12Tb5Sm.

Structure (POSCAR):
```
La12Tb5Sm
1.0
10.962 0.002 -0.006
5.482 9.590 0.663
0.005 1.757 6.151
La Tb Sm
12 5 1
Direct
0.829 0.000 0.500
0.171 0.000 0.500
0.670 0.000 0.000
0.330 0.000 0.000
0.338 0.666 0.000
0.996 0.666 0.000
0.004 0.334 0.000
0.662 0.334 0.000
0.504 0.333 0.500
0.837 0.666 0.500
0.163 0.334 0.500
0.496 0.667 0.500
0.500 0.000 0.500
0.167 0.666 0.501
0.833 0.334 0.499
0.667 0.667 0.000
0.333 0.333 0.000
0.000 0.000 0.000
```

Calculated values
SG: C2/m
Formation energy from the elements: 0.02 eV/atom

=====

A plane-wave DFT calculation with PBE was carried out for an optimized crystal structure of K2TlAu2Br6.

Structure (POSCAR):
```
K2TlAu2Br6
1.0
8.119 0.000 0.000
-4.060 7.350 -0.114
0.000 -4.332 6.854
K Tl Au Br
2 1 2 6
Direct
0.742 0.484 0.201
0.258 0.516 0.799
0.500 0.000 0.500
0.945 0.890 0.785
0.055 0.110 0.215
0.741 0.482 0.607
0.167 0.852 0.179
0.314 0.148 0.821
0.833 0.148 0.821
0.686 0.852 0.179
0.259 0.518 0.393
```

Calculated values
SG: C2/m
Energy relative to the elements, uncorrected: -0.766 eV per atom